Record 1
A relaxed structure of Pr6P3SeS2. Source: the Alexandria database, functional PBE-GGA.

```
Pr6P3SeS2
1.0
9.148 -2.090 0.000
9.148 2.090 0.000
-1.997 0.000 8.155
Pr P Se S
6 3 1 2
Cartesian
-0.451 0.000 1.944 Pr
5.180 0.000 3.426 Pr
4.304 0.000 7.443 Pr
11.996 0.000 0.712 Pr
11.120 0.000 4.730 Pr
16.751 0.000 6.211 Pr
2.372 0.000 2.711 P
9.148 0.000 0.000 P
13.928 0.000 5.444 P
8.150 0.000 4.078 Se
1.394 0.000 6.796 S
14.906 0.000 1.359 S
```

density of states at the Fermi level: 0.36 states/eV/atom
size of the total moment: 0.0 μB per formula unit
space group: C2/m
formation energy from raw total energies: -21.68 eV/f.u.

Record 2
A relaxed structure of Pr6SiP2S3. Source: the Alexandria database, functional PBE-GGA.

```
Pr6SiP2S3
1.0
9.128 -2.094 0.000
9.128 2.094 0.000
-1.926 0.000 8.141
Pr Si P S
6 1 2 3
Cartesian
-0.459 0.000 2.030 Pr
5.244 0.000 3.427 Pr
4.343 0.000 7.436 Pr
11.988 0.000 0.705 Pr
11.087 0.000 4.713 Pr
16.790 0.000 6.111 Pr
9.128 0.000 0.000 Si
2.413 0.000 2.723 P
13.918 0.000 5.417 P
1.449 0.000 6.772 S
8.165 0.000 4.070 S
14.882 0.000 1.369 S
```

density of states at the Fermi level: 0.32 states/eV/atom
size of the total moment: 0.0 μB per formula unit
space group: C2/m
formation energy from raw total energies: -20.08 eV/f.u.

Record 3
A relaxed structure of Pr6Si2PS3. Source: the Alexandria database, functional PBE-GGA.

```
Pr6Si2PS3
1.0
9.168 -2.103 0.000
9.168 2.103 0.000
-1.921 0.000 8.198
Pr Si P S
6 2 1 3
Cartesian
-0.450 0.000 2.015 Pr
5.318 0.000 3.417 Pr
4.378 0.000 7.509 Pr
12.037 0.000 0.689 Pr
11.096 0.000 4.781 Pr
16.864 0.000 6.183 Pr
2.411 0.000 2.727 Si
14.004 0.000 5.471 Si
9.168 0.000 0.000 P
1.440 0.000 6.839 S
8.207 0.000 4.099 S
14.975 0.000 1.359 S
```

density of states at the Fermi level: 0.20 states/eV/atom
size of the total moment: 0.0 μB per formula unit
space group: C2/m
formation energy from raw total energies: -18.13 eV/f.u.

Record 4
A relaxed structure of Pr8Si3PS4. Source: the Alexandria database, functional PBE-GGA.

```
Pr8Si3PS4
1.0
4.210 2.430 6.890
-4.210 2.430 6.890
0.000 -4.861 6.890
Pr Si P S
8 3 1 4
Cartesian
0.000 0.000 5.173 Pr
-2.096 -1.210 12.033 Pr
0.000 -2.420 8.638 Pr
-2.096 1.210 8.638 Pr
2.096 -1.210 12.033 Pr
0.000 2.420 12.033 Pr
2.096 1.210 8.638 Pr
0.000 0.000 15.497 Pr
-4.210 0.000 10.335 Si
-2.105 1.215 3.445 Si
2.105 1.215 3.445 Si
0.000 0.000 10.335 P
0.000 0.000 0.000 S
-2.105 -1.215 6.890 S
-2.105 1.215 13.780 S
0.000 2.430 6.890 S
```

density of states at the Fermi level: 0.28 states/eV/atom
size of the total moment: 0.0 μB per formula unit
space group: R-3m
formation energy from raw total energies: -23.52 eV/f.u.

Record 5
A relaxed structure of Pr4SiPS2. Source: the Alexandria database, functional PBE-GGA.

```
Pr4SiPS2
1.0
7.264 0.000 0.000
0.000 4.198 0.000
-2.422 0.000 6.856
Pr Si P S
4 1 1 2
Cartesian
1.174 0.000 1.694 Pr
-0.022 2.099 5.144 Pr
4.863 2.099 1.712 Pr
3.667 0.000 5.161 Pr
-1.211 0.000 3.428 Si
0.000 2.099 0.000 P
3.632 0.000 0.000 S
2.421 2.099 3.428 S
```

density of states at the Fermi level: 0.20 states/eV/atom
size of the total moment: 0.0 μB per formula unit
space group: P2/m
formation energy from raw total energies: -12.78 eV/f.u.

Record 6
A relaxed structure of Pr6SnP2S3. Source: the Alexandria database, functional PBE-GGA.

```
Pr6SnP2S3
1.0
9.210 -2.107 0.000
9.210 2.107 0.000
-1.905 0.000 8.264
Pr Sn P S
6 1 2 3
Cartesian
-0.466 0.000 2.201 Pr
4.310 0.000 7.493 Pr
5.287 0.000 3.480 Pr
11.228 0.000 4.783 Pr
12.205 0.000 0.771 Pr
16.981 0.000 6.063 Pr
9.210 0.000 0.000 Sn
2.457 0.000 2.774 P
14.058 0.000 5.490 P
1.470 0.000 6.872 S
8.257 0.000 4.132 S
15.045 0.000 1.391 S
```

density of states at the Fermi level: 0.39 states/eV/atom
size of the total moment: 0.0 μB per formula unit
space group: C2/m
formation energy from raw total energies: -19.66 eV/f.u.

Record 7
A relaxed structure of Pr4SnPS2. Source: the Alexandria database, functional PBE-GGA.

```
Pr4SnPS2
1.0
7.357 0.000 0.000
0.000 4.250 0.000
-2.479 0.000 6.993
Pr Sn P S
4 1 1 2
Cartesian
1.180 0.000 1.644 Pr
-0.046 2.125 5.316 Pr
4.924 2.125 1.677 Pr
3.697 0.000 5.349 Pr
2.439 2.125 3.497 Sn
3.679 0.000 0.000 P
-1.240 0.000 3.497 S
0.000 2.125 0.000 S
```

density of states at the Fermi level: 0.29 states/eV/atom
size of the total moment: 0.0 μB per formula unit
space group: P2/m
formation energy from raw total energies: -12.38 eV/f.u.

Record 8
A relaxed structure of SrPrPS. Source: the Alexandria database, functional PBE-GGA.

```
SrPrPS
1.0
2.126 1.228 7.005
-2.126 1.228 7.005
0.000 -2.455 7.005
Sr Pr P S
1 1 1 1
Cartesian
0.000 0.000 0.000 Sr
0.000 0.000 10.410 Pr
0.000 0.000 15.870 P
0.000 0.000 5.164 S
```

size of the total moment: 0.0 μB per formula unit
space group: R3m
formation energy from raw total energies: -6.98 eV/f.u.

Record 9
A relaxed structure of SrPrP2S8. Source: the Alexandria database, functional PBE-GGA.

```
SrPrP2S8
1.0
6.037 0.000 0.000
-3.018 5.228 0.000
0.000 0.000 9.447
Sr Pr P S
1 1 2 8
Cartesian
0.000 0.000 0.000 Sr
0.000 0.000 4.724 Pr
0.000 3.485 7.254 P
3.018 1.743 2.193 P
-1.957 3.401 2.779 S
0.000 3.485 9.289 S
1.052 1.833 2.779 S
2.113 0.006 6.668 S
0.905 5.222 2.779 S
1.967 3.395 6.668 S
3.018 1.743 0.158 S
4.975 1.827 6.668 S
```

density of states at the Fermi level: 1.06 states/eV/atom
size of the total moment: 0.0 μB per formula unit
space group: P-3
formation energy from raw total energies: -9.48 eV/f.u.

Record 10
A relaxed structure of TbPrPS. Source: the Alexandria database, functional PBE-GGA.

```
TbPrPS
1.0
2.031 1.173 6.692
-2.031 1.173 6.692
0.000 -2.345 6.692
Tb Pr P S
1 1 1 1
Cartesian
0.000 0.000 0.000 Tb
0.000 0.000 9.926 Pr
0.000 0.000 14.919 P
0.000 0.000 5.049 S
```

density of states at the Fermi level: 0.39 states/eV/atom
size of the total moment: 0.0 μB per formula unit
space group: R3m
formation energy from raw total energies: -7.40 eV/f.u.

Record 11
A relaxed structure of Pr4Te2PS. Source: the Alexandria database, functional PBE-GGA.

```
Pr4Te2PS
1.0
7.392 0.000 0.000
0.000 4.274 0.000
-2.469 0.000 7.349
Pr Te P S
4 2 1 1
Cartesian
1.208 0.000 1.553 Pr
-0.025 2.137 5.803 Pr
4.948 2.137 1.546 Pr
3.715 0.000 5.796 Pr
-1.234 0.000 3.675 Te
2.462 2.137 3.675 Te
0.000 2.137 0.000 P
3.696 0.000 0.000 S
```

density of states at the Fermi level: 0.32 states/eV/atom
size of the total moment: 0.0 μB per formula unit
space group: P2/m
formation energy from raw total energies: -13.34 eV/f.u.

Record 12
A relaxed structure of Pr6TeP3S2. Source: the Alexandria database, functional PBE-GGA.

```
Pr6TeP3S2
1.0
9.262 -2.106 0.000
9.262 2.106 0.000
-2.084 0.000 8.269
Pr Te P S
6 1 3 2
Cartesian
-0.455 0.000 1.879 Pr
5.142 0.000 3.458 Pr
4.302 0.000 7.544 Pr
12.138 0.000 0.725 Pr
11.298 0.000 4.811 Pr
16.895 0.000 6.390 Pr
8.220 0.000 4.135 Te
2.363 0.000 2.739 P
9.262 0.000 0.000 P
14.077 0.000 5.531 P
1.380 0.000 6.902 S
15.060 0.000 1.368 S
```

density of states at the Fermi level: 0.36 states/eV/atom
size of the total moment: 0.0 μB per formula unit
space group: C2/m
formation energy from raw total energies: -20.59 eV/f.u.